Material: Na2LiTeO4
Method: DFT, PBE-GGA
State: relaxed

abc: 5.6458 5.5184 5.5783
angles: 127.06 127.71 77.68
Last column: magnetic moment on the atom in μB.
Atoms (fractional coordinates):
Na  0.5322  0.0322  0.0644  0.01
Na  0.2862  0.2862  0.5725  0.00
Li  0.7514  0.7514  0.5028  0.00
Te  0.0109  0.5109  0.0218  0.14
O  0.6480  0.5635  0.6706  0.04
O  0.8227  0.3702  0.1357  0.23
O  0.3130  0.7654  0.1356  0.23
O  0.0227  0.1072  0.6707  0.04

Output
Energy relative to the elements, uncorrected, eV per atom: -1.46
Density, g cm⁻³: 3.82